Density functional theory data (GGA-PBE) for an optimized crystal structure of RbPa2PdO8.

Calculated values
Space group   No. 10
Total energy   -7.560 eV/atom
Theoretical density   6.87 g cm⁻³

abc: 5.117 5.109 7.245
angles: 90.01 90.02 86.54
Fractional coordinates of all 12 atoms:
O: 0.213 0.785 0.812
Pa: 0.500 0.500 0.749
Pa: 0.500 0.500 0.251
O: 0.341 0.336 0.500
Pd: 0.000 0.000 0.000
O: 0.279 0.277 0.000
O: 0.213 0.785 0.188
Rb: 0.000 0.000 0.500
O: 0.659 0.664 0.500
O: 0.787 0.215 0.812
O: 0.787 0.215 0.188
O: 0.721 0.723 0.000